## NpNiPb (PBE)

Data for NpNiPb after structural relaxation.

Unit cell a=4.9304 b=4.9304 c=5.7399 alpha=90.00 beta=90.00 gamma=120.00
Element x y z (fractional)
Np (0.0000, 0.0000, 0.0000)
Np (0.0000, 0.0000, 0.5000)
Ni (0.3333, 0.6667, 0.2500)
Ni (0.6667, 0.3333, 0.7500)
Pb (0.3333, 0.6667, 0.7500)
Pb (0.6667, 0.3333, 0.2500)

## Properties
Fermi-level density of states   5.4 states/eV/f.u.
Energy relative to the elements   0.094 eV per atom
Theoretical density   13.82 g cm⁻³